Material: NaMg2CoAs
Method: DFT, GGA-PBE
State: relaxed

Cell lengths 5.0084, 4.5396, 5.0084 Å; angles 90.00, 90.00, 90.00 degrees
With the nearest neighbours (Å) after each atom.
Positions (direct):
As: 0.5000 0.5000 0.5000  8 Mg 3.38, 4 Co 3.54
Na: 0.0000 0.0000 0.0000  2 Co 2.27, 4 Mg 2.50
Mg: 0.0000 0.0000 0.5000  2 Na 2.50
Co: 0.0000 0.5000 0.0000  2 Na 2.27
Mg: 0.5000 0.0000 0.0000  2 Na 2.50

- magnetization (μB/cell) = 1.19
- total energy (eV/atom) = -2.131
- E_form (eV/atom) = 1.1222

Material: Ac3Pm4Sn2
Method: DFT, GGA-PBE
State: relaxed

Cell lengths 4.3170, 6.7492, 12.3133 Å; angles 71.29, 90.00, 108.65 degrees
With the nearest neighbours (Å) after each atom.
Positions (direct):
Ac: 0.6642 0.3283 0.4320  2 Sn 3.53, 6 Pm 3.70-3.91, 2 Ac 3.84
Ac: 0.3358 0.6717 0.5680  2 Sn 3.53, 6 Pm 3.70-3.91, 2 Ac 3.84
Pm: 0.6911 0.3822 0.1232  2 Sn 3.28, 4 Pm 3.61-3.62
Ac: 0.0000 0.0000 0.0000  4 Sn 3.53, 8 Pm 3.69-3.93
Pm: 0.3089 0.6178 0.8768  2 Sn 3.28, 4 Pm 3.61-3.62
Pm: 0.0238 0.0476 0.6927  2 Sn 3.26, 2 Pm 3.62
Pm: 0.9762 0.9524 0.3073  2 Sn 3.26, 2 Pm 3.62
Sn: 0.3335 0.6670 0.2170  4 Pm 3.26-3.28, 4 Ac 3.53
Sn: 0.6665 0.3330 0.7830  4 Pm 3.26-3.28, 4 Ac 3.53

- magnetization (μB/cell) = 0.00
- total energy (eV/atom) = -4.667
- E_form (eV/atom) = -0.2963

Material: Ba2LaIn
Method: DFT, GGA-PBE
State: relaxed

Cell lengths 5.0729, 5.0729, 13.3517 Å; angles 79.05, 79.05, 90.00 degrees
With the nearest neighbours (Å) after each atom.
Positions (direct):
In: 0.2500 0.7500 0.5000  4 La 3.59, 4 Ba 3.65
Ba: 0.3750 0.3922 0.7500  4 Ba 3.47-3.71, 2 In 3.65, 2 La 3.71
In: 0.5000 0.5000 0.0000  4 La 3.59, 4 Ba 3.65
La: 0.7500 0.2500 0.5000  4 In 3.59, 4 Ba 3.71
Ba: 0.6078 0.1250 0.2500  4 Ba 3.47-3.71, 2 In 3.65, 2 La 3.71
La: 0.0000 0.0000 0.0000  4 In 3.59, 4 Ba 3.71
Ba: 0.8750 0.8578 0.7500  4 Ba 3.47-3.71, 2 In 3.65, 2 La 3.71
Ba: 0.1422 0.6250 0.2500  4 Ba 3.47-3.71, 2 In 3.65, 2 La 3.71

- magnetization (μB/cell) = 0.10
- total energy (eV/atom) = -2.767
- E_form (eV/atom) = 0.1109

Material: Pr4NdAl2
Method: DFT, GGA-PBE
State: relaxed

Cell lengths 5.4701, 5.4701, 8.8331 Å; angles 71.96, 71.96, 60.00 degrees
With the nearest neighbours (Å) after each atom.
Positions (direct):
Pr: 0.8480 0.8480 0.4560  1 Al 3.14, 3 Pr 3.24
Al: 0.7209 0.7209 0.8372  5 Pr 3.14-3.26, 3 Nd 3.43
Al: 0.2791 0.2791 0.1628  5 Pr 3.14-3.26, 3 Nd 3.43
Nd: 0.0000 0.0000 0.0000  6 Al 3.43, 8 Pr 3.70-3.76
Pr: 0.4109 0.4109 0.7673  4 Al 3.21-3.26
Pr: 0.1520 0.1520 0.5440  1 Al 3.14, 3 Pr 3.24
Pr: 0.5891 0.5891 0.2327  4 Al 3.21-3.26

- magnetization (μB/cell) = 0.00
- total energy (eV/atom) = -4.643
- E_form (eV/atom) = -0.1614

Material: Mg3Hg10Pb
Method: DFT, GGA-PBE
State: relaxed

Cell lengths 10.2222, 10.2222, 10.2222 Å; angles 60.00, 60.00, 60.00 degrees
With the nearest neighbours (Å) after each atom.
Positions (direct):
Mg: 0.7165 0.7165 0.2835  8 Hg 2.92-2.95
Hg: 0.3376 0.0000 0.0000  2 Mg 2.95
Mg: 0.7165 0.2835 0.7165  8 Hg 2.92-2.95
Hg: 0.3713 0.3713 0.8861  3 Mg 2.92, 1 Pb 3.04
Hg: 0.3376 0.0000 0.6624  2 Mg 2.95
Hg: 0.0000 0.0000 0.6624  2 Mg 2.95
Pb: 0.7500 0.7500 0.7500  4 Hg 3.04
Hg: 0.6287 0.1139 0.6287  3 Mg 2.92, 1 Pb 3.04
Hg: 0.1139 0.6287 0.6287  3 Mg 2.92, 1 Pb 3.04
Hg: 0.8861 0.3713 0.3713  3 Mg 2.92, 1 Pb 3.04
Mg: 0.2835 0.2835 0.7165  8 Hg 2.92-2.95
Hg: 0.6287 0.6287 0.1139  3 Mg 2.92, 1 Pb 3.04
Mg: 0.7165 0.2835 0.2835  8 Hg 2.92-2.95
Mg: 0.2835 0.7165 0.7165  8 Hg 2.92-2.95
Hg: 0.3376 0.6624 0.0000  2 Mg 2.95
Hg: 0.6624 0.3376 0.0000  2 Mg 2.95
Hg: 0.0000 0.3376 0.0000  2 Mg 2.95
Hg: 0.0000 0.6624 0.3376  2 Mg 2.95
Hg: 0.6624 0.0000 0.0000  2 Mg 2.95
Hg: 0.3713 0.8861 0.3713  3 Mg 2.92, 1 Pb 3.04
Mg: 0.2835 0.7165 0.2835  8 Hg 2.92-2.95
Hg: 0.0000 0.6624 0.0000  2 Mg 2.95
Hg: 0.3713 0.3713 0.3713  3 Mg 2.92, 1 Pb 3.04
Hg: 0.6624 0.0000 0.3376  2 Mg 2.95
Hg: 0.0000 0.3376 0.6624  2 Mg 2.95
Pb: 0.2500 0.2500 0.2500  4 Hg 3.04
Hg: 0.6287 0.6287 0.6287  3 Mg 2.92, 1 Pb 3.04
Hg: 0.0000 0.0000 0.3376  2 Mg 2.95

- magnetization (μB/cell) = 0.00
- total energy (eV/atom) = -0.851
- E_form (eV/atom) = -0.0286

What did the third record say?
Material: Ba2LaIn
Method: DFT, GGA-PBE
State: relaxed

Cell lengths 5.0729, 5.0729, 13.3517 Å; angles 79.05, 79.05, 90.00 degrees
With the nearest neighbours (Å) after each atom.
Positions (direct):
In: 0.2500 0.7500 0.5000  4 La 3.59, 4 Ba 3.65
Ba: 0.3750 0.3922 0.7500  4 Ba 3.47-3.71, 2 In 3.65, 2 La 3.71
In: 0.5000 0.5000 0.0000  4 La 3.59, 4 Ba 3.65
La: 0.7500 0.2500 0.5000  4 In 3.59, 4 Ba 3.71
Ba: 0.6078 0.1250 0.2500  4 Ba 3.47-3.71, 2 In 3.65, 2 La 3.71
La: 0.0000 0.0000 0.0000  4 In 3.59, 4 Ba 3.71
Ba: 0.8750 0.8578 0.7500  4 Ba 3.47-3.71, 2 In 3.65, 2 La 3.71
Ba: 0.1422 0.6250 0.2500  4 Ba 3.47-3.71, 2 In 3.65, 2 La 3.71

- magnetization (μB/cell) = 0.10
- total energy (eV/atom) = -2.767
- E_form (eV/atom) = 0.1109

> Look up the E_form of the third one.

0.1109 eV/atom